No. 1
The following is a DFT calculation (PBE) of a relaxed structure of LiHBr3.

Cell and atoms, written as CIF:
```
data_LiHBr3
_cell_length_a 6.723
_cell_length_b 8.226
_cell_length_c 11.510
_cell_angle_alpha 90.00
_cell_angle_beta 103.32
_cell_angle_gamma 90.00
_symmetry_space_group_name_H-M 'P 1 21/c 1'
_symmetry_Int_Tables_number 14
_symmetry_space_group_name_Hall '-P 2ybc'
loop_
_atom_site_label
_atom_site_type_symbol
_atom_site_fract_x
_atom_site_fract_y
_atom_site_fract_z
Li1 Li 0.121 0.021 0.262
H1 H 0.347 0.606 0.197
Br1 Br 0.049 0.747 0.122
Br2 Br 0.055 0.744 0.875
Br3 Br 0.500 0.007 0.766
```

Results
- magnetization (μB per formula unit) = 0.0
- volume (A^3/atom) = 30.969
- E above lowest polymorph (kJ/mol of formula units) = 0

---

No. 2
The following is a DFT calculation (PBE) of a relaxed structure of Li2H4Br3.

Cell and atoms, written as CIF:
```
data_Li2H4Br3
_cell_length_a 4.315
_cell_length_b 6.041
_cell_length_c 7.209
_cell_angle_alpha 89.32
_cell_angle_beta 89.92
_cell_angle_gamma 78.43
_symmetry_space_group_name_H-M 'P -1'
_symmetry_Int_Tables_number 2
_symmetry_space_group_name_Hall '-P 1'
loop_
_atom_site_label
_atom_site_type_symbol
_atom_site_fract_x
_atom_site_fract_y
_atom_site_fract_z
Li1 Li 0.243 0.482 0.178
H1 H 0.045 0.191 0.320
H2 H 0.143 0.126 0.244
Br1 Br 0.310 0.279 0.861
Br2 Br 0.500 0.500 0.500
```

Results
- magnetization (μB per formula unit) = 1.0
- volume (A^3/atom) = 20.453
- energy (Ry/atom) = -0.2255

---

No. 3
The following is a DFT calculation (PBE) of a relaxed structure of LiH2Br.

Cell and atoms, written as CIF:
```
data_LiH2Br
_cell_length_a 4.235
_cell_length_b 5.024
_cell_length_c 4.270
_cell_angle_alpha 90.00
_cell_angle_beta 119.57
_cell_angle_gamma 90.00
_symmetry_space_group_name_H-M 'P 1 m 1'
_symmetry_Int_Tables_number 6
_symmetry_space_group_name_Hall 'P -2y'
loop_
_atom_site_label
_atom_site_type_symbol
_atom_site_fract_x
_atom_site_fract_y
_atom_site_fract_z
Li1 Li 0.000 0.000 0.000
H1 H 0.067 0.500 0.123
H2 H 0.950 0.500 0.920
Br1 Br 0.332 0.000 0.662
```

Results
- magnetization (μB per formula unit) = 0.0
- volume (A^3/atom) = 19.756
- E above lowest polymorph (kJ/mol of formula units) = 0

---

No. 4
The following is a DFT calculation (PBE) of a relaxed structure of Li2H2Br3.

Cell and atoms, written as CIF:
```
data_Li2H2Br3
_cell_length_a 4.036
_cell_length_b 5.438
_cell_length_c 6.805
_cell_angle_alpha 107.38
_cell_angle_beta 105.65
_cell_angle_gamma 94.78
_symmetry_space_group_name_H-M 'P -1'
_symmetry_Int_Tables_number 2
_symmetry_space_group_name_Hall '-P 1'
loop_
_atom_site_label
_atom_site_type_symbol
_atom_site_fract_x
_atom_site_fract_y
_atom_site_fract_z
Li1 Li 0.192 0.190 0.366
H1 H 0.339 0.850 0.163
Br1 Br 0.165 0.676 0.357
Br2 Br 0.500 0.000 0.000
```

Results
- magnetization (μB per formula unit) = 0.0
- volume (A^3/atom) = 19.293
- energy (Ry/atom) = -0.2030

---

No. 5
The following is a DFT calculation (PBE) of a relaxed structure of LiHBr2.

Cell and atoms, written as CIF:
```
data_LiHBr2
_cell_length_a 6.799
_cell_length_b 6.799
_cell_length_c 6.799
_cell_angle_alpha 90.00
_cell_angle_beta 90.00
_cell_angle_gamma 90.00
_symmetry_space_group_name_H-M 'F m -3 m'
_symmetry_Int_Tables_number 225
_symmetry_space_group_name_Hall '-F 4 2 3'
loop_
_atom_site_label
_atom_site_type_symbol
_atom_site_fract_x
_atom_site_fract_y
_atom_site_fract_z
Li1 Li 0.000 0.000 0.000
H1 H 0.000 0.000 0.500
Br1 Br 0.250 0.250 0.250
```

Results
- magnetization (μB per formula unit) = 0.4
- volume (A^3/atom) = 19.643
- E above lowest polymorph (kJ/mol of formula units) = 346

---

No. 6
The following is a DFT calculation (PBE) of a relaxed structure of LiH2Br2.

Cell and atoms, written as CIF:
```
data_LiH2Br2
_cell_length_a 4.051
_cell_length_b 7.492
_cell_length_c 7.246
_cell_angle_alpha 90.00
_cell_angle_beta 100.34
_cell_angle_gamma 90.00
_symmetry_space_group_name_H-M 'P 1 21 1'
_symmetry_Int_Tables_number 4
_symmetry_space_group_name_Hall 'P 2yb'
loop_
_atom_site_label
_atom_site_type_symbol
_atom_site_fract_x
_atom_site_fract_y
_atom_site_fract_z
Li1 Li 0.099 0.000 0.446
H1 H 0.072 0.126 0.731
H2 H 0.439 0.680 0.794
Br1 Br 0.270 0.557 0.908
Br2 Br 0.371 0.317 0.440
```

Results
- magnetization (μB per formula unit) = 1.0
- volume (A^3/atom) = 21.634
- E above lowest polymorph (kJ/mol of formula units) = 89

---

No. 7
The following is a DFT calculation (PBE) of a relaxed structure of LiMgH2Br.

Cell and atoms, written as CIF:
```
data_LiMgH2Br
_cell_length_a 3.757
_cell_length_b 3.757
_cell_length_c 5.780
_cell_angle_alpha 90.00
_cell_angle_beta 90.00
_cell_angle_gamma 90.00
_symmetry_space_group_name_H-M 'P 4/m m m'
_symmetry_Int_Tables_number 123
_symmetry_space_group_name_Hall '-P 4 2'
loop_
_atom_site_label
_atom_site_type_symbol
_atom_site_fract_x
_atom_site_fract_y
_atom_site_fract_z
Li1 Li 0.000 0.000 0.000
Mg1 Mg 0.500 0.500 0.500
H1 H 0.000 0.500 0.500
Br1 Br 0.500 0.500 0.000
```

Results
- magnetization (μB per formula unit) = 0.0
- volume (A^3/atom) = 16.321
- energy (Ry/atom) = -0.2158

---

No. 8
The following is a DFT calculation (PBE) of a relaxed structure of LiMg2HBr.

Cell and atoms, written as CIF:
```
data_LiMg2HBr
_cell_length_a 4.082
_cell_length_b 4.082
_cell_length_c 6.246
_cell_angle_alpha 90.00
_cell_angle_beta 90.00
_cell_angle_gamma 90.00
_symmetry_space_group_name_H-M 'P 4/m m m'
_symmetry_Int_Tables_number 123
_symmetry_space_group_name_Hall '-P 4 2'
loop_
_atom_site_label
_atom_site_type_symbol
_atom_site_fract_x
_atom_site_fract_y
_atom_site_fract_z
Li1 Li 0.000 0.000 0.000
Mg1 Mg 0.000 0.500 0.500
H1 H 0.500 0.500 0.500
Br1 Br 0.500 0.500 0.000
```

Results
- magnetization (μB per formula unit) = 0.0
- volume (A^3/atom) = 20.810
- energy (Ry/atom) = -0.1673

---

No. 9
The following is a DFT calculation (PBE) of a relaxed structure of Li2H2Br2O.

Cell and atoms, written as CIF:
```
data_Li2H2Br2O
_cell_length_a 4.299
_cell_length_b 5.782
_cell_length_c 6.006
_cell_angle_alpha 72.88
_cell_angle_beta 89.78
_cell_angle_gamma 68.86
_symmetry_space_group_name_H-M 'P -1'
_symmetry_Int_Tables_number 2
_symmetry_space_group_name_Hall '-P 1'
loop_
_atom_site_label
_atom_site_type_symbol
_atom_site_fract_x
_atom_site_fract_y
_atom_site_fract_z
Li1 Li 0.177 0.144 0.261
H1 H 0.053 0.396 0.888
Br1 Br 0.190 0.128 0.701
O1 O 0.000 0.500 0.000
```

Results
- magnetization (μB per formula unit) = 0.0
- volume (A^3/atom) = 18.882
- energy (Ry/atom) = -0.2831

---

No. 10
The following is a DFT calculation (PBE) of a relaxed structure of Li2HBrO.

Cell and atoms, written as CIF:
```
data_Li2HBrO
_cell_length_a 6.001
_cell_length_b 3.386
_cell_length_c 6.768
_cell_angle_alpha 90.00
_cell_angle_beta 106.60
_cell_angle_gamma 90.00
_symmetry_space_group_name_H-M 'P 1 21/m 1'
_symmetry_Int_Tables_number 11
_symmetry_space_group_name_Hall '-P 2yb'
loop_
_atom_site_label
_atom_site_type_symbol
_atom_site_fract_x
_atom_site_fract_y
_atom_site_fract_z
Li1 Li 0.156 0.250 0.463
Li2 Li 0.166 0.250 0.861
H1 H 0.345 0.750 0.704
Br1 Br 0.292 0.750 0.196
O1 O 0.175 0.750 0.669
```

Results
- magnetization (μB per formula unit) = 0.0
- volume (A^3/atom) = 13.178
- energy (Ry/atom) = -0.3140

---

No. 11
The following is a DFT calculation (PBE) of a relaxed structure of LiH2BrO2.

Cell and atoms, written as CIF:
```
data_LiH2BrO2
_cell_length_a 4.689
_cell_length_b 4.684
_cell_length_c 7.276
_cell_angle_alpha 90.00
_cell_angle_beta 103.77
_cell_angle_gamma 90.00
_symmetry_space_group_name_H-M 'P 1 21/m 1'
_symmetry_Int_Tables_number 11
_symmetry_space_group_name_Hall '-P 2yb'
loop_
_atom_site_label
_atom_site_type_symbol
_atom_site_fract_x
_atom_site_fract_y
_atom_site_fract_z
Li1 Li 0.117 0.250 0.011
H1 H 0.054 0.250 0.270
H2 H 0.066 0.750 0.272
Br1 Br 0.451 0.250 0.765
O1 O 0.047 0.503 0.226
```

Results
- magnetization (μB per formula unit) = 0.0
- volume (A^3/atom) = 12.934
- energy (Ry/atom) = -0.2909

---

No. 12
The following is a DFT calculation (PBE) of a relaxed structure of LiH6BrO7.

Cell and atoms, written as CIF:
```
data_LiH6BrO7
_cell_length_a 7.8770
_cell_length_b 7.8770
_cell_length_c 5.7136
_cell_angle_alpha 90.00
_cell_angle_beta 90.00
_cell_angle_gamma 120.00
_symmetry_space_group_name_H-M 'P 63 m c'
_symmetry_Int_Tables_number 186
_symmetry_space_group_name_Hall 'P 6c -2c'
loop_
_atom_site_label
_atom_site_type_symbol
_atom_site_fract_x
_atom_site_fract_y
_atom_site_fract_z
Li1 Li 0.0000 0.0000 0.0000
H1 H 0.0640 0.3264 0.2461
Br1 Br 0.3333 0.6667 0.8049
O1 O 0.1051 0.5526 0.7054
O2 O 0.1196 0.2392 0.2498
O3 O 0.3333 0.6667 0.0926
```

Results
- magnetization (μB per formula unit) = 0.0
- volume (A^3/atom) = 10.234
- energy (Ry/atom) = -0.3418